First-principles (PBE) data for a geometry-optimized HfMg6V structure, as listed in the Alexandria database.

## Properties
E_form (meV/atom): 222.5
Distance to the lowest polymorph of the same formula (meV/atom): 34

The structure in CIF format:
```
data_HfMg6V
_symmetry_space_group_name_H-M 'A m m 2'
_symmetry_Int_Tables_number 38
_cell_length_a 5.0568
_cell_length_b 6.0768
_cell_length_c 11.1373
_cell_angle_alpha 90.00
_cell_angle_beta 90.00
_cell_angle_gamma 90.00
loop_
_symmetry_equiv_pos_as_xyz
'x,y,z'
'-x,-y,z'
'-x,y,z'
'x,-y,z'
'x,y+1/2,z+1/2'
'-x,-y+1/2,z+1/2'
'-x,y+1/2,z+1/2'
'x,-y+1/2,z+1/2'
loop_
_atom_site_label
_atom_site_type_symbol
_atom_site_fract_x
_atom_site_fract_y
_atom_site_fract_z
Hf1 Hf 0.0000 0.0000 0.0000
Mg1 Mg 0.0000 0.2483 0.2496
Mg2 Mg 0.5000 0.0000 0.1551
Mg3 Mg 0.5000 0.0000 0.6466
Mg4 Mg 0.5000 0.2480 0.4123
V1 V 0.0000 0.0000 0.4961
```